Record 1
Computed, not measured: a relaxed C2Se crystal at the GGA-PBE level of DFT.

Calculated values
polymorph energy (0 for the lowest one)	2.0024	eV per atom
calculated total energy	-60.444	eV/cell
total magnetic moment	0.00	μB per cell
formation energy from raw total energies	2.274	eV per atom
ρ	3934	kg/m3

Cell: 6.2958 6.2958 5.0658 Å, 90.00 90.00 120.00°
Sites, in units of the cell vectors:
C 0.0000 0.0000 0.0000
C 0.0000 0.0000 0.5000
C 0.0924 0.1848 0.2500
C 0.0924 0.9076 0.2500
C 0.1848 0.0924 0.7500
C 0.8152 0.9076 0.2500
C 0.9076 0.0924 0.7500
C 0.9076 0.8152 0.7500
Se 0.3333 0.6667 0.5362
Se 0.3333 0.6667 0.9638
Se 0.6667 0.3333 0.0362
Se 0.6667 0.3333 0.4638

=====

Record 2
Computed, not measured: a relaxed C5Se crystal at the GGA-PBE level of DFT.

Calculated values
polymorph energy (0 for the lowest one)	2.6455	eV per atom
calculated total energy	-28.777	eV/cell
total magnetic moment	0.00	μB per cell
formation energy from raw total energies	3.471	eV per atom
ρ	3802	kg/m3

Cell: 4.4117 4.4117 4.4117 Å, 60.00 60.00 60.00°
Sites, in units of the cell vectors:
C 0.0000 0.0000 0.0000
C 0.0179 0.6607 0.6607
C 0.6607 0.0179 0.6607
C 0.6607 0.6607 0.0179
C 0.6607 0.6607 0.6607
Se 0.2500 0.2500 0.2500

=====

Record 3
Computed, not measured: a relaxed CSe crystal at the GGA-PBE level of DFT.

Calculated values
polymorph energy (0 for the lowest one)	1.1622	eV per atom
calculated total energy	-56.257	eV/cell
total magnetic moment	0.00	μB per cell
formation energy from raw total energies	1.666	eV per atom
ρ	4425	kg/m3

Cell: 3.0726 13.5399 4.9229 Å, 90.00 90.00 90.00°
Sites, in units of the cell vectors:
C 0.2500 0.0782 0.0433
C 0.2500 0.4218 0.0433
C 0.2500 0.7500 0.3856
C 0.7500 0.2500 0.6144
C 0.7500 0.5782 0.9567
C 0.7500 0.9218 0.9567
Se 0.2500 0.2500 0.3717
Se 0.2500 0.5655 0.2061
Se 0.2500 0.9345 0.2061
Se 0.7500 0.0655 0.7939
Se 0.7500 0.4345 0.7939
Se 0.7500 0.7500 0.6283

=====

Record 4
Computed, not measured: a relaxed C2Se crystal at the GGA-PBE level of DFT.

Calculated values
polymorph energy (0 for the lowest one)	1.4832	eV per atom
calculated total energy	-50.005	eV/cell
total magnetic moment	0.00	μB per cell
formation energy from raw total energies	1.755	eV per atom
ρ	4785	kg/m3

Cell: 5.7110 5.7110 3.7958 Å, 90.00 90.00 120.00°
Sites, in units of the cell vectors:
C 0.0000 0.4300 0.1416
C 0.0000 0.5700 0.8584
C 0.4300 0.0000 0.1416
C 0.4300 0.4300 0.8584
C 0.5700 0.0000 0.8584
C 0.5700 0.5700 0.1416
Se 0.0000 0.0000 0.0000
Se 0.3333 0.6667 0.5000
Se 0.6667 0.3333 0.5000

=====

Record 5
Computed, not measured: a relaxed C2Se crystal at the GGA-PBE level of DFT.

Calculated values
polymorph energy (0 for the lowest one)	1.9458	eV per atom
calculated total energy	-15.281	eV/cell
total magnetic moment	0.00	μB per cell
formation energy from raw total energies	2.217	eV per atom
ρ	2958	kg/m3

Cell: 4.9208 4.9208 4.9208 Å, 46.78 46.78 46.78°
Sites, in units of the cell vectors:
C 0.0000 0.0000 0.0000
C 0.1021 0.1021 0.1021
Se 0.6693 0.6693 0.6693

=====

Record 6
Computed, not measured: a relaxed CSe crystal at the GGA-PBE level of DFT.

Calculated values
polymorph energy (0 for the lowest one)	0.4490	eV per atom
calculated total energy	-21.605	eV/cell
total magnetic moment	0.00	μB per cell
formation energy from raw total energies	0.953	eV per atom
ρ	3361	kg/m3

Cell: 4.4866 4.4866 4.4866 Å, 86.73 86.73 86.73°
Sites, in units of the cell vectors:
C 0.0777 0.0777 0.0777
C 0.9223 0.9223 0.9223
Se 0.2896 0.2896 0.2896
Se 0.7104 0.7104 0.7104

=====

Record 7
Computed, not measured: a relaxed C2Se crystal at the GGA-PBE level of DFT.

Calculated values
polymorph energy (0 for the lowest one)	1.2253	eV per atom
calculated total energy	-34.884	eV/cell
total magnetic moment	0.00	μB per cell
formation energy from raw total energies	1.497	eV per atom
ρ	5289	kg/m3

Cell: 4.0088 5.0564 3.1902 Å, 90.00 90.00 90.00°
Sites, in units of the cell vectors:
C 0.1371 0.0801 0.0000
C 0.3629 0.5801 0.5000
C 0.6371 0.4199 0.5000
C 0.8629 0.9199 0.0000
Se 0.0000 0.5000 0.0000
Se 0.5000 0.0000 0.5000

=====

Record 8
Computed, not measured: a relaxed C2Se crystal at the GGA-PBE level of DFT.

Calculated values
polymorph energy (0 for the lowest one)	1.8811	eV per atom
calculated total energy	-30.950	eV/cell
total magnetic moment	0.00	μB per cell
formation energy from raw total energies	2.152	eV per atom
ρ	5441	kg/m3

Cell: 4.6912 4.6912 4.6912 Å, 127.61 127.61 77.25°
Sites, in units of the cell vectors:
C 0.2791 0.5291 0.7500
C 0.4709 0.7209 0.7500
C 0.5291 0.2791 0.2500
C 0.7209 0.4709 0.2500
Se 0.1250 0.8750 0.2500
Se 0.8750 0.1250 0.7500

=====

Record 9
Computed, not measured: a relaxed CSe5 crystal at the GGA-PBE level of DFT.

Calculated values
polymorph energy (0 for the lowest one)	0.4198	eV per atom
calculated total energy	-20.890	eV/cell
total magnetic moment	0.19	μB per cell
formation energy from raw total energies	0.959	eV per atom
ρ	4028	kg/m3

Cell: 8.8206 6.1209 6.1209 Å, 30.50 90.00 90.00°
Sites, in units of the cell vectors:
C 0.0000 0.0000 0.0000
Se 0.0000 0.3750 0.3750
Se 0.0000 0.6254 0.6254
Se 0.5000 0.1751 0.1751
Se 0.5000 0.5084 0.5084
Se 0.5000 0.8418 0.8418

=====

Record 10
Computed, not measured: a relaxed CSe crystal at the GGA-PBE level of DFT.

Calculated values
polymorph energy (0 for the lowest one)	0.4079	eV per atom
calculated total energy	-32.654	eV/cell
total magnetic moment	0.50	μB per cell
formation energy from raw total energies	0.912	eV per atom
ρ	3207	kg/m3

Cell: 6.7440 6.7440 7.9375 Å, 91.08 91.08 23.05°
Sites, in units of the cell vectors:
C 0.0000 0.0000 0.0000
C 0.1576 0.1576 0.3059
C 0.5122 0.5122 0.0714
Se 0.2384 0.2384 0.5043
Se 0.5516 0.5516 0.3114
Se 0.9606 0.9606 0.7665

=====

Record 11
Computed, not measured: a relaxed CSe crystal at the GGA-PBE level of DFT.

Calculated values
polymorph energy (0 for the lowest one)	1.3562	eV per atom
calculated total energy	-35.952	eV/cell
total magnetic moment	0.00	μB per cell
formation energy from raw total energies	1.860	eV per atom
ρ	1787	kg/m3

Cell: 7.6009 7.6009 7.6009 Å, 109.47 109.47 109.47°
Sites, in units of the cell vectors:
C 0.0000 0.0000 0.5877
C 0.0000 0.5877 0.0000
C 0.4123 0.4123 0.4123
C 0.5877 0.0000 0.0000
Se 0.0000 0.0000 0.3659
Se 0.0000 0.3659 0.0000
Se 0.3659 0.0000 0.0000
Se 0.6341 0.6341 0.6341

=====

Record 12
Computed, not measured: a relaxed CSe crystal at the GGA-PBE level of DFT.

Calculated values
polymorph energy (0 for the lowest one)	0.4553	eV per atom
calculated total energy	-21.580	eV/cell
total magnetic moment	0.00	μB per cell
formation energy from raw total energies	0.959	eV per atom
ρ	3156	kg/m3

Cell: 4.2850 4.2850 5.4269 Å, 97.97 97.97 77.47°
Sites, in units of the cell vectors:
C 0.1028 0.1028 0.9998
C 0.8972 0.8972 0.0002
Se 0.0281 0.5265 0.1832
Se 0.4735 0.9719 0.8168

=====

Record 13
Computed, not measured: a relaxed CSe3 crystal at the GGA-PBE level of DFT.

Calculated values
polymorph energy (0 for the lowest one)	0.4125	eV per atom
calculated total energy	-31.529	eV/cell
total magnetic moment	0.00	μB per cell
formation energy from raw total energies	0.978	eV per atom
ρ	4582	kg/m3

Cell: 3.1286 8.3086 6.9401 Å, 90.00 90.00 90.00°
Sites, in units of the cell vectors:
C 0.2500 0.2500 0.1384
C 0.7500 0.7500 0.8616
Se 0.2500 0.5401 0.6200
Se 0.2500 0.7500 0.0306
Se 0.2500 0.9599 0.6200
Se 0.7500 0.0401 0.3800
Se 0.7500 0.2500 0.9694
Se 0.7500 0.4599 0.3800

=====

Record 14
Computed, not measured: a relaxed CSe5 crystal at the GGA-PBE level of DFT.

Calculated values
polymorph energy (0 for the lowest one)	0.0000	eV per atom
calculated total energy	-23.408	eV/cell
total magnetic moment	0.00	μB per cell
formation energy from raw total energies	0.540	eV per atom
ρ	3188	kg/m3

Cell: 9.0112 9.0112 7.6840 Å, 96.70 96.70 20.00°
Sites, in units of the cell vectors:
C 0.0000 0.0000 0.0000
Se 0.0068 0.0068 0.2390
Se 0.2438 0.2438 0.5410
Se 0.3459 0.3459 0.3806
Se 0.5024 0.5024 0.8533
Se 0.6443 0.6443 0.3922

=====

Record 15
Computed, not measured: a relaxed C4Se3 crystal at the GGA-PBE level of DFT.

Calculated values
polymorph energy (0 for the lowest one)	0.0000	eV per atom
calculated total energy	-33.889	eV/cell
total magnetic moment	0.00	μB per cell
formation energy from raw total energies	1.923	eV per atom
ρ	4203	kg/m3

Cell: 10.7226 10.7226 10.7226 Å, 162.41 162.41 24.98°
Sites, in units of the cell vectors:
C 0.0319 0.0319 0.0000
C 0.2893 0.2893 0.0000
C 0.7107 0.7107 0.0000
C 0.9681 0.9681 0.0000
Se 0.1949 0.1949 0.0000
Se 0.5000 0.5000 0.0000
Se 0.8051 0.8051 0.0000

=====

Record 16
Computed, not measured: a relaxed C4Se crystal at the GGA-PBE level of DFT.

Calculated values
polymorph energy (0 for the lowest one)	2.3916	eV per atom
calculated total energy	-20.794	eV/cell
total magnetic moment	0.00	μB per cell
formation energy from raw total energies	3.917	eV per atom
ρ	3827	kg/m3

Cell: 4.1522 4.1522 4.1522 Å, 109.47 109.47 109.47°
Sites, in units of the cell vectors:
C 0.0000 0.0000 0.5000
C 0.0000 0.5000 0.0000
C 0.5000 0.0000 0.0000
C 0.5000 0.5000 0.5000
Se 0.0000 0.0000 0.0000

=====

Record 17
Computed, not measured: a relaxed C5Se crystal at the GGA-PBE level of DFT.

Calculated values
polymorph energy (0 for the lowest one)	2.3439	eV per atom
calculated total energy	-30.587	eV/cell
total magnetic moment	0.00	μB per cell
formation energy from raw total energies	3.170	eV per atom
ρ	4699	kg/m3

Cell: 4.8182 4.8182 2.4434 Å, 90.00 90.00 120.00°
Sites, in units of the cell vectors:
C 0.0000 0.5000 0.0000
C 0.3333 0.6667 0.5000
C 0.5000 0.0000 0.0000
C 0.5000 0.5000 0.0000
C 0.6667 0.3333 0.5000
Se 0.0000 0.0000 0.5000

=====

Record 18
Computed, not measured: a relaxed C5Se crystal at the GGA-PBE level of DFT.

Calculated values
polymorph energy (0 for the lowest one)	0.1920	eV per atom
calculated total energy	-43.498	eV/cell
total magnetic moment	0.00	μB per cell
formation energy from raw total energies	1.018	eV per atom
ρ	2952	kg/m3

Cell: 5.6101 5.6101 2.4903 Å, 90.00 90.00 93.83°
Sites, in units of the cell vectors:
C 0.0000 0.0000 0.0000
C 0.1679 0.8321 0.0000
C 0.2537 0.7463 0.5000
C 0.7463 0.2537 0.5000
C 0.8321 0.1679 0.0000
Se 0.5000 0.5000 0.5000

=====

Record 19
Computed, not measured: a relaxed CSe3 crystal at the GGA-PBE level of DFT.

Calculated values
polymorph energy (0 for the lowest one)	0.7751	eV per atom
calculated total energy	-14.314	eV/cell
total magnetic moment	0.00	μB per cell
formation energy from raw total energies	1.341	eV per atom
ρ	5636	kg/m3

Cell: 4.5671 4.5671 4.5671 Å, 109.47 109.47 109.47°
Sites, in units of the cell vectors:
C 0.0000 0.0000 0.0000
Se 0.0000 0.5000 0.5000
Se 0.5000 0.0000 0.5000
Se 0.5000 0.5000 0.0000

=====

Record 20
Computed, not measured: a relaxed CSe crystal at the GGA-PBE level of DFT.

Calculated values
polymorph energy (0 for the lowest one)	0.3599	eV per atom
calculated total energy	-21.961	eV/cell
total magnetic moment	0.00	μB per cell
formation energy from raw total energies	0.864	eV per atom
ρ	2581	kg/m3

Cell: 5.2100 5.3286 5.4352 Å, 116.82 114.93 92.33°
Sites, in units of the cell vectors:
C 0.1094 0.0662 0.1343
C 0.8906 0.9338 0.8657
Se 0.4327 0.2573 0.5211
Se 0.5673 0.7427 0.4789